# 1
VASP calculation (PBE) on CaLa2AlO after structural relaxation.

Summary:
Raw formation energy: -6.6 eV per formula unit
D(E_F): 2.541 states/eV/cell

Cell and atoms, written as CIF:
```
data_CaLa2AlO
_symmetry_space_group_name_H-M 'P 4/m m m'
_symmetry_Int_Tables_number 123
_symmetry_space_group_name_Hall '-P 4 2'
_cell_length_a 5.0579
_cell_length_b 5.0579
_cell_length_c 4.8229
_cell_angle_alpha 90.00
_cell_angle_beta 90.00
_cell_angle_gamma 90.00
loop_
_atom_site_label
_atom_site_type_symbol
_atom_site_fract_x
_atom_site_fract_y
_atom_site_fract_z
_atom_site_occupancy
Ca1 Ca 0.0000 0.0000 0.0000 1
La1 La 0.0000 0.5000 0.5000 1
Al1 Al 0.5000 0.5000 0.0000 1
O1 O 0.0000 0.0000 0.5000 1
```

# 2
VASP calculation (PBE) on CaLaAl3O7 after structural relaxation.

Summary:
Energy relative to the lowest polymorph listed for this composition: 3.0 meV/atom
Raw formation energy: -38.0 eV per formula unit
D(E_F): 0.000 states/eV/cell

Cell and atoms, written as CIF:
```
data_CaLaAl3O7
_symmetry_space_group_name_H-M 'C m m 2'
_symmetry_Int_Tables_number 35
_cell_length_a 11.0049
_cell_length_b 11.2381
_cell_length_c 5.1963
_cell_angle_alpha 90.00
_cell_angle_beta 90.00
_cell_angle_gamma 90.00
loop_
_symmetry_equiv_pos_as_xyz
'x,y,z'
'-x,-y,z'
'-x,y,z'
'x,-y,z'
'x+1/2,y+1/2,z'
'-x+1/2,-y+1/2,z'
'-x+1/2,y+1/2,z'
'x+1/2,-y+1/2,z'
loop_
_atom_site_label
_atom_site_type_symbol
_atom_site_fract_x
_atom_site_fract_y
_atom_site_fract_z
_atom_site_occupancy
Ca1 Ca 0.1590 0.0000 0.0000 1
La1 La 0.0000 0.3352 0.9730 1
Al1 Al 0.0000 0.1403 0.5208 1
Al2 Al 0.1469 0.5000 0.4424 1
Al3 Al 0.2500 0.2500 0.4739 1
O1 O 0.0000 0.0000 0.6686 1
O2 O 0.0000 0.1421 0.1843 1
O3 O 0.0000 0.5000 0.3024 1
O4 O 0.1233 0.2163 0.6705 1
O5 O 0.1401 0.5000 0.7795 1
O6 O 0.2131 0.3757 0.2835 1
```

# 3
VASP calculation (PBE) on CaLa2AlOs after structural relaxation.

Summary:
ΔH_f (0 K): -55.4 kJ/mol of formula units
D(E_F): 3.108 states/eV/cell

Cell and atoms, written as CIF:
```
data_CaLa2AlOs
_symmetry_space_group_name_H-M 'P 4/m m m'
_symmetry_Int_Tables_number 123
_symmetry_space_group_name_Hall '-P 4 2'
_cell_length_a 5.6008
_cell_length_b 5.6008
_cell_length_c 5.0196
_cell_angle_alpha 90.00
_cell_angle_beta 90.00
_cell_angle_gamma 90.00
loop_
_atom_site_label
_atom_site_type_symbol
_atom_site_fract_x
_atom_site_fract_y
_atom_site_fract_z
_atom_site_occupancy
Ca1 Ca 0.0000 0.0000 0.0000 1
La1 La 0.0000 0.5000 0.5000 1
Al1 Al 0.5000 0.5000 0.0000 1
Os1 Os 0.5000 0.5000 0.5000 1
```

# 4
VASP calculation (PBE) on Ca2LaAl2P4 after structural relaxation.

Summary:
ΔH_f (0 K): -801.7 kJ/mol of formula units
D(E_F): 6.678 states/eV/cell

Cell and atoms, written as CIF:
```
data_Ca2LaAl2P4
_symmetry_space_group_name_H-M 'C 1 2/m 1'
_symmetry_Int_Tables_number 12
_cell_length_a 15.0781
_cell_length_b 4.0039
_cell_length_c 7.0796
_cell_angle_alpha 90.00
_cell_angle_beta 109.01
_cell_angle_gamma 90.00
loop_
_symmetry_equiv_pos_as_xyz
'x,y,z'
'-x,-y,-z'
'-x,y,-z'
'x,-y,z'
'x+1/2,y+1/2,z'
'-x+1/2,-y+1/2,-z'
'-x+1/2,y+1/2,-z'
'x+1/2,-y+1/2,z'
loop_
_atom_site_label
_atom_site_type_symbol
_atom_site_fract_x
_atom_site_fract_y
_atom_site_fract_z
_atom_site_occupancy
Ca1 Ca 0.1254 0.0000 0.0497 1
La1 La 0.0000 0.0000 0.5000 1
Al1 Al 0.1755 0.5000 0.4864 1
P1 P 0.0296 0.5000 0.2225 1
P2 P 0.2152 0.0000 0.7033 1
```

# 5
VASP calculation (PBE) on CaLaAlPb after structural relaxation.

Summary:
ΔH_f (0 K): -143.8 kJ/mol of formula units
D(E_F): 9.713 states/eV/cell

Cell and atoms, written as CIF:
```
data_CaLaAlPb
_symmetry_space_group_name_H-M 'F -4 3 m'
_symmetry_Int_Tables_number 216
_symmetry_space_group_name_Hall 'F -4 2 3'
_cell_length_a 7.7561
_cell_length_b 7.7561
_cell_length_c 7.7561
_cell_angle_alpha 90.00
_cell_angle_beta 90.00
_cell_angle_gamma 90.00
loop_
_atom_site_label
_atom_site_type_symbol
_atom_site_fract_x
_atom_site_fract_y
_atom_site_fract_z
_atom_site_occupancy
Ca1 Ca 0.0000 0.0000 0.0000 1
La1 La 0.0000 0.0000 0.5000 1
Al1 Al 0.2500 0.2500 0.2500 1
Pb1 Pb 0.2500 0.2500 0.7500 1
```

# 6
VASP calculation (PBE) on CaLa2Al3Pd4 after structural relaxation.

Summary:
ΔH_f (0 K): -736.0 kJ/mol of formula units
D(E_F): 8.689 states/eV/cell

Cell and atoms, written as CIF:
```
data_CaLa2Al3Pd4
_symmetry_space_group_name_H-M 'P -4 m 2'
_symmetry_Int_Tables_number 115
_cell_length_a 4.4279
_cell_length_b 4.4279
_cell_length_c 10.9580
_cell_angle_alpha 90.00
_cell_angle_beta 90.00
_cell_angle_gamma 90.00
loop_
_symmetry_equiv_pos_as_xyz
'x,y,z'
'y,-x,-z'
'-x,-y,z'
'-y,x,-z'
'-x,y,z'
'-y,-x,-z'
'x,-y,z'
'y,x,-z'
loop_
_atom_site_label
_atom_site_type_symbol
_atom_site_fract_x
_atom_site_fract_y
_atom_site_fract_z
_atom_site_occupancy
Ca1 Ca 0.0000 0.0000 0.0000 1
La1 La 0.0000 0.5000 0.7305 1
Al1 Al 0.0000 0.5000 0.3864 1
Al2 Al 0.5000 0.5000 0.0000 1
Pd1 Pd 0.0000 0.0000 0.5000 1
Pd2 Pd 0.0000 0.5000 0.1555 1
Pd3 Pd 0.5000 0.5000 0.5000 1
```

# 7
VASP calculation (PBE) on CaLaAlPd after structural relaxation.

Summary:
ΔH_f (0 K): -175.1 kJ/mol of formula units
D(E_F): 15.258 states/eV/cell

Cell and atoms, written as CIF:
```
data_CaLaAlPd
_symmetry_space_group_name_H-M 'F -4 3 m'
_symmetry_Int_Tables_number 216
_symmetry_space_group_name_Hall 'F -4 2 3'
_cell_length_a 7.3891
_cell_length_b 7.3891
_cell_length_c 7.3891
_cell_angle_alpha 90.00
_cell_angle_beta 90.00
_cell_angle_gamma 90.00
loop_
_atom_site_label
_atom_site_type_symbol
_atom_site_fract_x
_atom_site_fract_y
_atom_site_fract_z
_atom_site_occupancy
Ca1 Ca 0.0000 0.0000 0.0000 1
La1 La 0.0000 0.0000 0.5000 1
Al1 Al 0.2500 0.2500 0.7500 1
Pd1 Pd 0.2500 0.2500 0.2500 1
```

# 8
VASP calculation (PBE) on CaLaPrAl after structural relaxation.

Summary:
ΔH_f (0 K): -36.3 kJ/mol of formula units
D(E_F): 11.498 states/eV/cell

Cell and atoms, written as CIF:
```
data_CaLaPrAl
_symmetry_space_group_name_H-M 'F -4 3 m'
_symmetry_Int_Tables_number 216
_symmetry_space_group_name_Hall 'F -4 2 3'
_cell_length_a 7.8991
_cell_length_b 7.8991
_cell_length_c 7.8991
_cell_angle_alpha 90.00
_cell_angle_beta 90.00
_cell_angle_gamma 90.00
loop_
_atom_site_label
_atom_site_type_symbol
_atom_site_fract_x
_atom_site_fract_y
_atom_site_fract_z
_atom_site_occupancy
Ca1 Ca 0.0000 0.0000 0.0000 1
La1 La 0.2500 0.2500 0.2500 1
Pr1 Pr 0.2500 0.2500 0.7500 1
Al1 Al 0.0000 0.0000 0.5000 1
```

# 9
VASP calculation (PBE) on CaLa2Al3Pt4 after structural relaxation.

Summary:
ΔH_f (0 K): -971.5 kJ/mol of formula units
D(E_F): 7.797 states/eV/cell

Cell and atoms, written as CIF:
```
data_CaLa2Al3Pt4
_symmetry_space_group_name_H-M 'P -4 m 2'
_symmetry_Int_Tables_number 115
_cell_length_a 4.3846
_cell_length_b 4.3846
_cell_length_c 11.0265
_cell_angle_alpha 90.00
_cell_angle_beta 90.00
_cell_angle_gamma 90.00
loop_
_symmetry_equiv_pos_as_xyz
'x,y,z'
'y,-x,-z'
'-x,-y,z'
'-y,x,-z'
'-x,y,z'
'-y,-x,-z'
'x,-y,z'
'y,x,-z'
loop_
_atom_site_label
_atom_site_type_symbol
_atom_site_fract_x
_atom_site_fract_y
_atom_site_fract_z
_atom_site_occupancy
Ca1 Ca 0.0000 0.0000 0.0000 1
La1 La 0.0000 0.5000 0.7320 1
Al1 Al 0.0000 0.5000 0.3853 1
Al2 Al 0.5000 0.5000 0.0000 1
Pt1 Pt 0.0000 0.0000 0.5000 1
Pt2 Pt 0.0000 0.5000 0.1573 1
Pt3 Pt 0.5000 0.5000 0.5000 1
```

# 10
VASP calculation (PBE) on CaLa2AlRh after structural relaxation.

Summary:
ΔH_f (0 K): -173.5 kJ/mol of formula units
D(E_F): 4.015 states/eV/cell

Cell and atoms, written as CIF:
```
data_CaLa2AlRh
_symmetry_space_group_name_H-M 'P 4/m m m'
_symmetry_Int_Tables_number 123
_symmetry_space_group_name_Hall '-P 4 2'
_cell_length_a 5.5883
_cell_length_b 5.5883
_cell_length_c 5.0018
_cell_angle_alpha 90.00
_cell_angle_beta 90.00
_cell_angle_gamma 90.00
loop_
_atom_site_label
_atom_site_type_symbol
_atom_site_fract_x
_atom_site_fract_y
_atom_site_fract_z
_atom_site_occupancy
Ca1 Ca 0.0000 0.0000 0.0000 1
La1 La 0.0000 0.5000 0.5000 1
Al1 Al 0.5000 0.5000 0.0000 1
Rh1 Rh 0.5000 0.5000 0.5000 1
```

# 11
VASP calculation (PBE) on CaLa2AlRu after structural relaxation.

Summary:
ΔH_f (0 K): -103.5 kJ/mol of formula units
D(E_F): 3.414 states/eV/cell

Cell and atoms, written as CIF:
```
data_CaLa2AlRu
_symmetry_space_group_name_H-M 'P 4/m m m'
_symmetry_Int_Tables_number 123
_symmetry_space_group_name_Hall '-P 4 2'
_cell_length_a 5.5009
_cell_length_b 5.5009
_cell_length_c 5.0703
_cell_angle_alpha 90.00
_cell_angle_beta 90.00
_cell_angle_gamma 90.00
loop_
_atom_site_label
_atom_site_type_symbol
_atom_site_fract_x
_atom_site_fract_y
_atom_site_fract_z
_atom_site_occupancy
Ca1 Ca 0.0000 0.0000 0.0000 1
La1 La 0.0000 0.5000 0.5000 1
Al1 Al 0.5000 0.5000 0.0000 1
Ru1 Ru 0.5000 0.5000 0.5000 1
```

# 12
VASP calculation (PBE) on Ca2LaAlS after structural relaxation.

Summary:
Raw formation energy: -2.0 eV per formula unit
D(E_F): 4.630 states/eV/cell

Cell and atoms, written as CIF:
```
data_Ca2LaAlS
_symmetry_space_group_name_H-M 'P 4/m m m'
_symmetry_Int_Tables_number 123
_symmetry_space_group_name_Hall '-P 4 2'
_cell_length_a 5.2565
_cell_length_b 5.2565
_cell_length_c 5.6998
_cell_angle_alpha 90.00
_cell_angle_beta 90.00
_cell_angle_gamma 90.00
loop_
_atom_site_label
_atom_site_type_symbol
_atom_site_fract_x
_atom_site_fract_y
_atom_site_fract_z
_atom_site_occupancy
Ca1 Ca 0.0000 0.5000 0.0000 1
La1 La 0.0000 0.0000 0.5000 1
Al1 Al 0.5000 0.5000 0.5000 1
S1 S 0.5000 0.5000 0.0000 1
```